(1)
Entry from Alexandria via LeMat-Bulk: an optimized crystal structure of Ce4NdIn5 (PBE-GGA).

Calculated values
spin magnetization	3.8	μB/cell
calculated formation energy	-0.385	eV per atom
electronic total energy	-4.60	eV per atom

a b c (Å): 4.6794 3.5507 16.6074
angles (deg): 90.00 90.00 90.00
With the nearest neighbours (Å) after each atom.
Fractional coordinates of all 10 atoms:
In  0.5000  0.5000  0.1034  4 In 3.31-3.55, 4 Nd 3.40, 4 Ce 3.41
Nd  0.0000  0.0000  0.0000  8 In 3.40, 2 Ce 3.45, 2 Nd 3.55
In  0.5000  0.5000  0.5000  4 In 3.27-3.55, 8 Ce 3.37
In  0.5000  0.5000  0.6972  4 In 3.27-3.55, 8 Ce 3.33-3.36
Ce  0.0000  0.0000  0.4009  4 Ce 3.21-3.55, 8 In 3.36-3.37
In  0.5000  0.5000  0.8966  4 In 3.31-3.55, 4 Nd 3.40, 4 Ce 3.41
In  0.5000  0.5000  0.3028  4 In 3.27-3.55, 8 Ce 3.33-3.36
Ce  0.0000  0.0000  0.7921  3 Ce 3.21-3.55, 8 In 3.33-3.41, 1 Nd 3.45
Ce  0.0000  0.0000  0.2079  3 Ce 3.21-3.55, 8 In 3.33-3.41, 1 Nd 3.45
Ce  0.0000  0.0000  0.5991  4 Ce 3.21-3.55, 8 In 3.36-3.37

---

(2)
Entry from Alexandria via LeMat-Bulk: an optimized crystal structure of ScTa2Au (PBE-GGA).

Calculated values
spin magnetization	0.0	μB/cell
calculated formation energy	0.318	eV per atom
excess energy over the best structure of this formula in the dataset	1.768	eV per formula unit
electronic total energy	-8.01	eV per atom

a b c (Å): 4.7070 4.7070 4.7070
angles (deg): 60.00 60.00 60.00
With the nearest neighbours (Å) after each atom.
Fractional coordinates of all 4 atoms:
Ta  0.7500  0.7500  0.7500  4 Au 2.88, 4 Sc 2.88
Au  0.5000  0.5000  0.5000  8 Ta 2.88
Ta  0.2500  0.2500  0.2500  4 Au 2.88, 4 Sc 2.88
Sc  0.0000  0.0000  0.0000  8 Ta 2.88

---

(3)
Entry from Alexandria via LeMat-Bulk: an optimized crystal structure of NaIn2AgCl8 (PBE-GGA).

Calculated values
spin magnetization	0.0	μB/cell
formation energy from raw total energies	-1.04	eV per atom
electronic total energy	-3.08	eV per atom

a b c (Å): 7.7865 7.7865 7.7865
angles (deg): 107.13 107.13 114.27
With the nearest neighbours (Å) after each atom.
Fractional coordinates of all 12 atoms:
Ag  0.2500  0.7500  0.5000  4 Cl 2.84
Cl  0.7613  0.0656  0.6957  1 In 2.39
In  0.7500  0.2500  0.5000  4 Cl 2.39
Cl  0.3175  0.5170  0.1995  1 In 2.40
Na  0.0000  0.0000  0.0000  4 Cl 2.87
In  0.5000  0.5000  0.0000  4 Cl 2.40
Cl  0.9344  0.6301  0.6957  1 In 2.39
Cl  0.3175  0.1180  0.8005  1 In 2.40
Cl  0.9344  0.2387  0.3043  1 In 2.39
Cl  0.3699  0.0656  0.3043  1 In 2.39
Cl  0.4830  0.6825  0.8005  1 In 2.40
Cl  0.8820  0.6825  0.1995  1 In 2.40

---

(4)
Entry from Alexandria via LeMat-Bulk: an optimized crystal structure of Nd5TmTl3 (PBE-GGA).

Calculated values
spin magnetization	3.1	μB/cell
calculated formation energy	-0.261	eV per atom
electronic total energy	-4.20	eV per atom

a b c (Å): 6.9014 9.6058 9.6041
angles (deg): 120.01 90.00 90.00
With the nearest neighbours (Å) after each atom.
Fractional coordinates of all 18 atoms:
Nd  0.5000  0.6665  0.3330  8 Nd 3.45-3.62, 6 Tl 3.67-3.68
Tl  0.2500  0.6757  0.6756  5 Nd 3.18-3.45, 2 Tm 3.56
Tl  0.7500  0.9999  0.6756  5 Nd 3.18-3.45, 2 Tm 3.56
Tl  0.7500  0.6756  0.0000  5 Nd 3.19-3.45, 2 Tm 3.56
Tl  0.2500  0.3244  0.0000  5 Nd 3.19-3.45, 2 Tm 3.56
Tl  0.2500  0.0001  0.3244  5 Nd 3.18-3.45, 2 Tm 3.56
Tm  0.5000  0.0000  0.0000  2 Tm 3.45, 6 Tl 3.56, 6 Nd 3.68
Nd  0.0000  0.3335  0.6670  8 Nd 3.45-3.62, 6 Tl 3.67-3.68
Tl  0.7500  0.3243  0.3244  5 Nd 3.18-3.45, 2 Tm 3.56
Nd  0.2500  0.6620  0.0000  5 Tl 3.18-3.45
Nd  0.2500  0.3383  0.3384  5 Tl 3.18-3.45
Nd  0.0000  0.6665  0.3330  8 Nd 3.45-3.62, 6 Tl 3.67-3.68
Tm  0.0000  0.0000  0.0000  2 Tm 3.45, 6 Tl 3.56, 6 Nd 3.68
Nd  0.5000  0.3335  0.6670  8 Nd 3.45-3.62, 6 Tl 3.67-3.68
Nd  0.7500  0.0001  0.3384  5 Tl 3.18-3.45
Nd  0.2500  0.9999  0.6616  5 Tl 3.18-3.45
Nd  0.7500  0.3380  0.0000  5 Tl 3.18-3.45
Nd  0.7500  0.6617  0.6616  5 Tl 3.18-3.45

---

The highest electronic total energy belongs to which entry? NaIn2AgCl8

---

Which value of electronic total energy does entry 1 give? -4.60 eV per atom

---

Which formula does entry 4 have? Nd5TmTl3

---

Among the records above, which one has the highest spin magnetization? Ce4NdIn5